Record 1
Below is a geometry-optimized AcPmPr2Y5 structure, with properties calculated at the PBE level.

Computed properties:
The energy relative to the elements is 2.24 eV per formula unit. As for the symmetry: I4/mcm, No. 140. The value obtained for the density of states at the Fermi level is 1.062 states/eV/atom.

Unit cell a=8.873 b=8.873 c=10.152 alpha=115.91 beta=115.91 gamma=90.00
Atoms (fractional coordinates):
Y  0.579  0.654  0.732
Y  0.346  0.846  0.268
Y  0.421  0.346  0.268
Y  0.921  0.421  0.268
Y  0.500  0.500  0.000
Y  0.079  0.579  0.732
Y  0.654  0.154  0.732
Y  0.000  0.000  0.000
Y  0.154  0.079  0.732
Y  0.846  0.921  0.268
Pm  0.750  0.750  0.500
Pm  0.250  0.250  0.500
Pr  0.884  0.616  0.000
Pr  0.384  0.884  0.000
Pr  0.116  0.384  0.000
Pr  0.616  0.116  0.000
Ac  0.250  0.750  0.500
Ac  0.750  0.250  0.500

***

Record 2
Below is a geometry-optimized AlCu2Tc structure, with properties calculated at the PBE level.

Computed properties:
The energy relative to the elements is -0.45 eV per formula unit. As for the symmetry: Pmmm, No. 47. The value obtained for the density of states at the Fermi level is 0.446 states/eV/atom.

Unit cell a=3.556 b=3.761 c=3.941 alpha=90.00 beta=90.00 gamma=90.00
Each line ends with the local moment (μB).
Atoms (fractional coordinates):
Cu  0.500  0.500  0.000  0.00
Cu  0.000  0.000  0.000  0.00
Al  0.000  0.500  0.500  0.00
Tc  0.500  0.000  0.500  0.25

***

Record 3
Below is a geometry-optimized Th2PaSi2 structure, with properties calculated at the PBE level.

Computed properties:
As for the symmetry: P4/mbm, No. 127. As for the uncorrected formation energy: -0.563 eV per atom. The value obtained for the density of states at the Fermi level is 1.002 states/eV/atom.

Unit cell a=4.188 b=7.630 c=7.630 alpha=90.00 beta=90.00 gamma=90.00
Atoms (fractional coordinates):
Th  0.500  0.317  0.183
Th  0.500  0.183  0.683
Th  0.500  0.683  0.817
Th  0.500  0.817  0.317
Si  0.000  0.385  0.885
Si  0.000  0.615  0.115
Si  0.000  0.885  0.615
Si  0.000  0.115  0.385
Pa  0.000  0.500  0.500
Pa  0.000  0.000  0.000

***

Repeat the first record exactly.
Below is a geometry-optimized AcPmPr2Y5 structure, with properties calculated at the PBE level.

Computed properties:
The energy relative to the elements is 2.24 eV per formula unit. As for the symmetry: I4/mcm, No. 140. The value obtained for the density of states at the Fermi level is 1.062 states/eV/atom.

Unit cell a=8.873 b=8.873 c=10.152 alpha=115.91 beta=115.91 gamma=90.00
Atoms (fractional coordinates):
Y  0.579  0.654  0.732
Y  0.346  0.846  0.268
Y  0.421  0.346  0.268
Y  0.921  0.421  0.268
Y  0.500  0.500  0.000
Y  0.079  0.579  0.732
Y  0.654  0.154  0.732
Y  0.000  0.000  0.000
Y  0.154  0.079  0.732
Y  0.846  0.921  0.268
Pm  0.750  0.750  0.500
Pm  0.250  0.250  0.500
Pr  0.884  0.616  0.000
Pr  0.384  0.884  0.000
Pr  0.116  0.384  0.000
Pr  0.616  0.116  0.000
Ac  0.250  0.750  0.500
Ac  0.750  0.250  0.500